Computed, not measured: an optimized crystal structure of Pm2PuCdO8 at the GGA-PBE level of DFT.

Calculated values
DFT total energy: -7.75 eV per atom
ΔE_f (raw): -28.576 eV per formula unit
crystal system: monoclinic

Cell lengths 4.1354, 7.7065, 5.3899 Å; angles 90.00, 97.76, 90.00 degrees
Last column: nearest neighbours and their distance in Å.
Space group P2/m (No. 10)
One atom of each set of equivalent atoms:
Pm (0.0000, 0.2464, 0.0000) x2  8 O 2.31-2.57
Pu (0.5000, 0.5000, 0.5000) x1  6 O 2.00-2.04
Cd (0.5000, 0.0000, 0.5000) x1  2 O 2.11
O (0.0647, 0.0000, 0.2456) x2  1 Cd 2.11, 2 Pm 2.31
O (0.0709, 0.5000, 0.2789) x2  1 Pu 2.00
O (0.4434, 0.2995, 0.7364) x4  1 Pu 2.04

Computed, not measured: an optimized crystal structure of Rb2PmCd2O4 at the GGA-PBE level of DFT.

Calculated values
DFT total energy: -4.75 eV per atom
ΔE_f (raw): -14.400 eV per formula unit
crystal system: monoclinic

Cell lengths 13.3772, 3.6468, 10.2177 Å; angles 90.00, 130.54, 90.00 degrees
Last column: nearest neighbours and their distance in Å.
Space group C2/m (No. 12)
One atom of each set of equivalent atoms:
Rb (0.1384, 0.0000, 0.2716) x4  4 O 2.83-2.88
Pm (0.0000, 0.5000, 0.5000) x2  6 O 2.40-2.41
Cd (0.1720, 0.0000, 0.8557) x4  3 O 2.27
O (0.0412, 0.5000, 0.7672) x4  2 Cd 2.27, 1 Pm 2.41
O (0.1525, 0.0000, 0.6177) x4  1 Cd 2.27, 2 Pm 2.40

Please write out number 2 again, unchanged.
Computed, not measured: an optimized crystal structure of Rb2PmCd2O4 at the GGA-PBE level of DFT.

Calculated values
DFT total energy: -4.75 eV per atom
ΔE_f (raw): -14.400 eV per formula unit
crystal system: monoclinic

Cell lengths 13.3772, 3.6468, 10.2177 Å; angles 90.00, 130.54, 90.00 degrees
Last column: nearest neighbours and their distance in Å.
Space group C2/m (No. 12)
One atom of each set of equivalent atoms:
Rb (0.1384, 0.0000, 0.2716) x4  4 O 2.83-2.88
Pm (0.0000, 0.5000, 0.5000) x2  6 O 2.40-2.41
Cd (0.1720, 0.0000, 0.8557) x4  3 O 2.27
O (0.0412, 0.5000, 0.7672) x4  2 Cd 2.27, 1 Pm 2.41
O (0.1525, 0.0000, 0.6177) x4  1 Cd 2.27, 2 Pm 2.40